No. 1
CaZnAs2 PBE relaxed; ΔE_f = -337 meV/atom; density = 4.04 Mg/m³
1.0
5.0279 0.0000 0.0000
0.0000 5.0279 0.0000
0.0000 0.0000 16.6101
Ca Zn As
4 4 8
Cartesian
0.0000 0.0000 0.0000
0.0000 2.5139 4.1525
2.5139 0.0000 12.4576
2.5139 2.5139 8.3051
0.0000 0.0000 8.3051
0.0000 2.5139 12.4576
2.5139 0.0000 4.1525
2.5139 2.5139 0.0000
0.5162 1.2570 10.3813
1.2570 3.0301 14.5339
1.2570 4.5117 6.2288
1.9978 1.2570 2.0763
3.0301 3.7709 2.0763
3.7709 0.5162 6.2288
3.7709 1.9978 14.5339
4.5117 3.7709 10.3813



No. 2
KTc2As PBE relaxed; ΔE_f = 1067 meV/atom; density = 7.04 Mg/m³
1.0
5.7209 0.0000 0.0000
0.0000 10.5288 0.0000
-0.9534 0.0000 2.4297
K Tc As
2 4 2
Cartesian
0.0000 0.0000 0.0000
2.8604 5.2644 0.0000
1.4302 2.6322 0.0000
1.4302 7.8966 0.0000
4.2907 2.6322 0.0000
4.2907 7.8966 0.0000
0.0000 5.2644 0.0000
2.8604 0.0000 0.0000



What did the first record say?
CaZnAs2 PBE relaxed; ΔE_f = -337 meV/atom; density = 4.04 Mg/m³
1.0
5.0279 0.0000 0.0000
0.0000 5.0279 0.0000
0.0000 0.0000 16.6101
Ca Zn As
4 4 8
Cartesian
0.0000 0.0000 0.0000
0.0000 2.5139 4.1525
2.5139 0.0000 12.4576
2.5139 2.5139 8.3051
0.0000 0.0000 8.3051
0.0000 2.5139 12.4576
2.5139 0.0000 4.1525
2.5139 2.5139 0.0000
0.5162 1.2570 10.3813
1.2570 3.0301 14.5339
1.2570 4.5117 6.2288
1.9978 1.2570 2.0763
3.0301 3.7709 2.0763
3.7709 0.5162 6.2288
3.7709 1.9978 14.5339
4.5117 3.7709 10.3813



Repeat the first record exactly.
CaZnAs2 PBE relaxed; ΔE_f = -337 meV/atom; density = 4.04 Mg/m³
1.0
5.0279 0.0000 0.0000
0.0000 5.0279 0.0000
0.0000 0.0000 16.6101
Ca Zn As
4 4 8
Cartesian
0.0000 0.0000 0.0000
0.0000 2.5139 4.1525
2.5139 0.0000 12.4576
2.5139 2.5139 8.3051
0.0000 0.0000 8.3051
0.0000 2.5139 12.4576
2.5139 0.0000 4.1525
2.5139 2.5139 0.0000
0.5162 1.2570 10.3813
1.2570 3.0301 14.5339
1.2570 4.5117 6.2288
1.9978 1.2570 2.0763
3.0301 3.7709 2.0763
3.7709 0.5162 6.2288
3.7709 1.9978 14.5339
4.5117 3.7709 10.3813



Which formula does entry 1 have?
CaZnAs2